VASP calculation (PBEsol) on AlTlFe2 after structural relaxation.

Cell lengths 4.6958, 4.6958, 4.6958 Å; angles 130.93, 130.93, 71.92 degrees
With the nearest neighbours (Å) after each atom.
Element x y z (fractional)
Al  0.0000  0.0000  0.0000  8 Fe 2.72, 4 Tl 2.76
Tl  0.5000  0.5000  0.0000  8 Fe 2.72, 4 Al 2.76
Fe  0.2500  0.7500  0.5000  4 Tl 2.72, 4 Al 2.72, 4 Fe 2.76
Fe  0.7500  0.2500  0.5000  4 Tl 2.72, 4 Al 2.72, 4 Fe 2.76

Formation enthalpy at 0 K in eV per atom: 0.3430
Crystal system: tetragonal
Total magnetization in μB/cell: 4.28
V in Å³ per atom: 14.4

---

VASP calculation (PBEsol) on Al2TlFe after structural relaxation.

Cell lengths 4.5305, 4.5305, 4.5305 Å; angles 60.00, 60.00, 60.00 degrees
With the nearest neighbours (Å) after each atom.
Element x y z (fractional)
Al  0.2500  0.2500  0.2500  4 Tl 2.77, 4 Fe 2.77
Al  0.7500  0.7500  0.7500  4 Tl 2.77, 4 Fe 2.77
Tl  0.0000  0.0000  0.0000  8 Al 2.77
Fe  0.5000  0.5000  0.5000  8 Al 2.77

Formation enthalpy at 0 K in eV per atom: 0.4983
Crystal system: cubic
Total magnetization in μB/cell: 1.79
V in Å³ per atom: 16.4

---

VASP calculation (PBEsol) on Tm2Al2Fe15 after structural relaxation.

Cell lengths 8.1400, 8.1400, 8.2236 Å; angles 90.00, 90.00, 120.00 degrees
With the nearest neighbours (Å) after each atom.
Element x y z (fractional)
Tm  0.0000  0.0000  0.2500  18 Fe 2.83-3.17
Tm  0.0000  0.0000  0.7500  18 Fe 2.83-3.17
Tm  0.3333  0.6667  0.2500  18 Fe 2.87-3.12, 2 Al 2.88
Tm  0.6667  0.3333  0.7500  18 Fe 2.87-3.12, 2 Al 2.88
Al  0.3333  0.6667  0.6002  1 Al 2.46, 12 Fe 2.49-2.75
Al  0.3333  0.6667  0.8998  1 Al 2.46, 12 Fe 2.49-2.75
Al  0.6667  0.3333  0.1002  1 Al 2.46, 12 Fe 2.49-2.75
Al  0.6667  0.3333  0.3998  1 Al 2.46, 12 Fe 2.49-2.75
Fe  0.0000  0.5000  0.0000  8 Fe 2.36-2.42, 2 Al 2.49
Fe  0.0000  0.5000  0.5000  8 Fe 2.36-2.42, 2 Al 2.49
Fe  0.0330  0.3634  0.7500  8 Fe 2.42-2.54
Fe  0.0330  0.6696  0.7500  8 Fe 2.42-2.54
Fe  0.1649  0.3297  0.0121  8 Fe 2.33-2.54, 1 Al 2.55
Fe  0.1649  0.3297  0.4879  8 Fe 2.33-2.54, 1 Al 2.55
Fe  0.1649  0.8351  0.0121  8 Fe 2.33-2.54, 1 Al 2.55
Fe  0.1649  0.8351  0.4879  8 Fe 2.33-2.54, 1 Al 2.55
Fe  0.3297  0.1649  0.5121  8 Fe 2.33-2.54, 1 Al 2.55
Fe  0.3297  0.1649  0.9879  8 Fe 2.33-2.54, 1 Al 2.55
Fe  0.3304  0.3634  0.7500  8 Fe 2.42-2.54
Fe  0.3304  0.9670  0.7500  8 Fe 2.42-2.54
Fe  0.3634  0.0330  0.2500  8 Fe 2.42-2.54
Fe  0.3634  0.3304  0.2500  8 Fe 2.42-2.54
Fe  0.5000  0.0000  0.0000  8 Fe 2.36-2.42, 2 Al 2.49
Fe  0.5000  0.0000  0.5000  8 Fe 2.36-2.42, 2 Al 2.49
Fe  0.5000  0.5000  0.0000  8 Fe 2.36-2.42, 2 Al 2.49
Fe  0.5000  0.5000  0.5000  8 Fe 2.36-2.42, 2 Al 2.49
Fe  0.6366  0.6696  0.7500  8 Fe 2.42-2.54
Fe  0.6366  0.9670  0.7500  8 Fe 2.42-2.54
Fe  0.6696  0.0330  0.2500  8 Fe 2.42-2.54
Fe  0.6696  0.6366  0.2500  8 Fe 2.42-2.54
Fe  0.6703  0.8351  0.0121  8 Fe 2.33-2.54, 1 Al 2.55
Fe  0.6703  0.8351  0.4879  8 Fe 2.33-2.54, 1 Al 2.55
Fe  0.8351  0.1649  0.5121  8 Fe 2.33-2.54, 1 Al 2.55
Fe  0.8351  0.1649  0.9879  8 Fe 2.33-2.54, 1 Al 2.55
Fe  0.8351  0.6703  0.5121  8 Fe 2.33-2.54, 1 Al 2.55
Fe  0.8351  0.6703  0.9879  8 Fe 2.33-2.54, 1 Al 2.55
Fe  0.9670  0.3304  0.2500  8 Fe 2.42-2.54
Fe  0.9670  0.6366  0.2500  8 Fe 2.42-2.54

Formation enthalpy at 0 K in eV per atom: -0.0929
Crystal system: hexagonal
Total magnetization in μB/cell: 49.95
V in Å³ per atom: 12.4

---

VASP calculation (PBEsol) on TmAl6Fe6 after structural relaxation.

Cell lengths 6.4485, 6.4485, 6.4485 Å; angles 135.24, 99.15, 97.52 degrees
With the nearest neighbours (Å) after each atom.
Element x y z (fractional)
Tm  0.0000  0.0000  0.0000  8 Al 2.81-2.94
Al  0.1894  0.6894  0.5000  6 Fe 2.48-2.57
Al  0.3362  0.0000  0.3362  6 Fe 2.56-2.59, 1 Al 2.74, 1 Tm 2.81
Al  0.3456  0.3456  0.0000  6 Fe 2.54-2.56, 3 Al 2.63-2.79
Al  0.6544  0.6544  0.0000  6 Fe 2.54-2.56, 3 Al 2.63-2.79
Al  0.6638  0.0000  0.6638  6 Fe 2.56-2.59, 1 Al 2.74, 1 Tm 2.81
Al  0.8106  0.3106  0.5000  6 Fe 2.48-2.57
Fe  0.0000  0.0000  0.5000  4 Fe 2.46, 6 Al 2.48-2.56
Fe  0.0000  0.5000  0.0000  4 Fe 2.46, 6 Al 2.48-2.56
Fe  0.2396  0.5000  0.7396  4 Fe 2.46, 6 Al 2.54-2.59
Fe  0.5000  0.0000  0.0000  4 Fe 2.46, 6 Al 2.48-2.56
Fe  0.5000  0.5000  0.5000  4 Fe 2.46, 6 Al 2.48-2.56
Fe  0.7604  0.5000  0.2604  4 Fe 2.46, 6 Al 2.54-2.59

Formation enthalpy at 0 K in eV per atom: -0.3842
Crystal system: orthorhombic
Total magnetization in μB/cell: 9.42
V in Å³ per atom: 13.4

---

VASP calculation (PBEsol) on TmAl10Fe2 after structural relaxation.

Cell lengths 6.6882, 6.6882, 8.8619 Å; angles 90.00, 90.00, 97.26 degrees
With the nearest neighbours (Å) after each atom.
Element x y z (fractional)
Tm  0.1267  0.8733  0.7500  14 Al 3.05-3.25, 4 Fe 3.37
Tm  0.8733  0.1267  0.2500  14 Al 3.05-3.25, 4 Fe 3.37
Al  0.1345  0.4162  0.7500  2 Fe 2.48, 5 Al 2.56-2.67
Al  0.1567  0.8433  0.0964  6 Al 2.53-2.79, 2 Fe 2.55
Al  0.1567  0.8433  0.4036  6 Al 2.53-2.79, 2 Fe 2.55
Al  0.2192  0.4772  0.2500  5 Al 2.56-2.78, 2 Fe 2.67
Al  0.2268  0.2268  0.0000  2 Fe 2.52, 8 Al 2.66-2.78
Al  0.2268  0.2268  0.5000  2 Fe 2.52, 8 Al 2.66-2.78
Al  0.3740  0.6260  0.5491  6 Al 2.53-2.76, 2 Fe 2.57
Al  0.3740  0.6260  0.9509  6 Al 2.53-2.76, 2 Fe 2.57
Al  0.4162  0.1345  0.2500  2 Fe 2.48, 5 Al 2.56-2.67
Al  0.4772  0.2192  0.7500  5 Al 2.56-2.78, 2 Fe 2.67
Al  0.5228  0.7808  0.2500  5 Al 2.56-2.78, 2 Fe 2.67
Al  0.5838  0.8655  0.7500  2 Fe 2.48, 5 Al 2.56-2.67
Al  0.6260  0.3740  0.0491  6 Al 2.53-2.76, 2 Fe 2.57
Al  0.6260  0.3740  0.4509  6 Al 2.53-2.76, 2 Fe 2.57
Al  0.7732  0.7732  0.0000  2 Fe 2.52, 8 Al 2.66-2.78
Al  0.7732  0.7732  0.5000  2 Fe 2.52, 8 Al 2.66-2.78
Al  0.7808  0.5228  0.7500  5 Al 2.56-2.78, 2 Fe 2.67
Al  0.8433  0.1567  0.5964  6 Al 2.53-2.79, 2 Fe 2.55
Al  0.8433  0.1567  0.9036  6 Al 2.53-2.79, 2 Fe 2.55
Al  0.8655  0.5838  0.2500  2 Fe 2.48, 5 Al 2.56-2.67
Fe  0.0000  0.5000  0.0000  10 Al 2.48-2.67
Fe  0.0000  0.5000  0.5000  10 Al 2.48-2.67
Fe  0.5000  0.0000  0.0000  10 Al 2.48-2.67
Fe  0.5000  0.0000  0.5000  10 Al 2.48-2.67

Formation enthalpy at 0 K in eV per atom: -0.3584
Crystal system: orthorhombic
Total magnetization in μB/cell: 0.00
V in Å³ per atom: 15.1

---

VASP calculation (PBEsol) on AlFeW3 after structural relaxation.

Cell lengths 4.4555, 4.4555, 4.4555 Å; angles 90.00, 90.00, 90.00 degrees
With the nearest neighbours (Å) after each atom.
Element x y z (fractional)
Al  0.0000  0.0000  0.0000  6 W 2.23
Fe  0.5000  0.5000  0.5000  12 W 3.15
W  0.0000  0.0000  0.5000  2 Al 2.23
W  0.0000  0.5000  0.0000  2 Al 2.23
W  0.5000  0.0000  0.0000  2 Al 2.23

Relative energy among the computed polymorphs in eV/atom: 0.908
Formation enthalpy at 0 K in eV per atom: 2.1741
Crystal system: cubic
Total magnetization in μB/cell: 2.29
V in Å³ per atom: 17.7